# 1
# MgZn2Te

Crystalline MgZn2Te at its relaxed geometry (PBE, Alexandria via LeMat-Bulk).

The structure belongs to space group R3m (No. 160, hexagonal axes); the cell edges are 4.2880, 4.2880 and 17.4706 Å and the angles 90.00°, 90.00° and 120.00°. Symmetry generates all atoms from Mg at (0.0000, 0.0000, 0.0000), Zn at (0.0000, 0.0000, 0.2092), Zn at (0.0000, 0.0000, 0.5798) and Te at (0.0000, 0.0000, 0.7518).

The crystal system is trigonal. As for the total magnetization: 0.0 μB/cell. The uncorrected formation energy is -0.1405 eV/atom.

=====

# 2
# MgZn2Te

Crystalline MgZn2Te at its relaxed geometry (PBE, Alexandria via LeMat-Bulk).

The structure belongs to space group R-3m (No. 166, hexagonal axes); the cell edges are 4.0573, 4.0573 and 19.8514 Å and the angles 90.00°, 90.00° and 120.00°. Symmetry generates all atoms from Mg at (0.0000, 0.0000, 0.0000), Zn at (0.0000, 0.0000, 0.2476) and Te at (0.0000, 0.0000, 0.5000).

The crystal system is trigonal. As for the total magnetization: 0.0 μB/cell. The uncorrected formation energy is 0.0144 eV/atom.

=====

# 3
# MgZn2Te

Crystalline MgZn2Te at its relaxed geometry (PBE, Alexandria via LeMat-Bulk).

The structure belongs to space group P2/m (No. 10); the cell edges are 4.974, 3.978 and 5.227 Å and the angles 90.00°, 112.45° and 90.00°. Symmetry generates all atoms from Mg at (0.000, 0.000, 0.000), Zn at (0.267, 0.500, 0.748) and Te at (0.500, 0.000, 0.500).

The crystal system is monoclinic. As for the total magnetization: 0.0 μB/cell. The uncorrected formation energy is -0.0395 eV/atom.

=====

# 4
# MgZnTe3

Crystalline MgZnTe3 at its relaxed geometry (PBE, Alexandria via LeMat-Bulk).

The structure belongs to space group Pm-3m (No. 221); the cell edges are 5.321, 5.321 and 5.321 Å and the angles 90.00°, 90.00° and 90.00°. Symmetry generates all atoms from Mg at (0.000, 0.000, 0.000), Zn at (0.500, 0.500, 0.500) and Te at (0.000, 0.500, 0.500).

The crystal system is cubic. As for the total magnetization: 0.0 μB/cell. The uncorrected formation energy is 0.2500 eV/atom.

=====

# 5
# MgZn2Te

Crystalline MgZn2Te at its relaxed geometry (PBE, Alexandria via LeMat-Bulk).

The structure belongs to space group I-4m2 (No. 119); the cell edges are 4.540, 4.540 and 8.327 Å and the angles 90.00°, 90.00° and 90.00°. Symmetry generates all atoms from Mg at (0.000, 0.000, 0.000), Zn at (0.000, 0.000, 0.500), Zn at (0.000, 0.500, 0.250) and Te at (0.000, 0.500, 0.750).

The crystal system is tetragonal. As for the total magnetization: 0.0 μB/cell. The uncorrected formation energy is 0.0168 eV/atom.

=====

# 6
# MgZn2Te

Crystalline MgZn2Te at its relaxed geometry (PBE, Alexandria via LeMat-Bulk).

The structure belongs to space group Cmm2 (No. 35); the cell edges are 4.499, 4.698 and 8.246 Å and the angles 90.00°, 90.00° and 90.00°. Symmetry generates all atoms from Mg at (0.000, 0.000, 0.000), Zn at (0.000, 0.000, 0.606), Zn at (0.000, 0.500, 0.775) and Te at (0.000, 0.500, 0.263).

The crystal system is orthorhombic. As for the total magnetization: 0.0 μB/cell. The uncorrected formation energy is 0.0393 eV/atom.

=====

# 7
# MgZn2Te

Crystalline MgZn2Te at its relaxed geometry (PBE, Alexandria via LeMat-Bulk).

The structure belongs to space group Cm (No. 8); the cell edges are 7.931, 4.206 and 5.706 Å and the angles 90.00°, 98.39° and 90.00°. Symmetry generates all atoms from Mg at (0.000, 0.000, 0.000), Zn at (0.229, 0.500, 0.325), Zn at (0.412, 0.000, 0.296) and Te at (0.288, 0.000, 0.742).

The crystal system is monoclinic. As for the total magnetization: 0.0 μB/cell. The uncorrected formation energy is -0.1693 eV/atom.

=====

# 8
# Mg3ZnTe4

Crystalline Mg3ZnTe4 at its relaxed geometry (PBE, Alexandria via LeMat-Bulk).

The structure belongs to space group P-43m (No. 215); the cell edges are 6.430, 6.430 and 6.430 Å and the angles 90.00°, 90.00° and 90.00°. Symmetry generates all atoms from Mg at (0.000, 0.000, 0.500), Zn at (0.500, 0.500, 0.500) and Te at (0.257, 0.257, 0.743).

The crystal system is cubic. As for the total magnetization: 0.0 μB/cell. The uncorrected formation energy is -0.7645 eV/atom.